RbYTmSe3 after structural relaxation. Source: OQMD, functional GGA-PBE.

Results
Calculated volume: 32.637 A^3/atom
Space-group type: No. 63
Energy relative to the lowest polymorph listed for this composition: 0.59 eV per formula unit
E: -31.650 eV/f.u.

Cell lengths 8.156, 8.156, 11.199 Å; angles 90.00, 90.00, 148.28 degrees
Sites, in units of the cell vectors:
Se 0.377 0.623 0.547
Se 0.377 0.623 0.953
Se 0.623 0.377 0.047
Rb 0.261 0.739 0.250
Se 0.623 0.377 0.453
Se 0.938 0.062 0.250
Y 0.000 0.000 0.500
Tm 0.466 0.534 0.750
Se 0.062 0.938 0.750
Tm 0.534 0.466 0.250
Rb 0.739 0.261 0.750
Y 0.000 0.000 0.000